Ba2SbPd | the Alexandria database | GGA-PBE | optimized geometry; energy relative to the elements, uncorrected = -0.774 eV/atom; SG = P2_1/m (11)
1.0
6.781 0.000 0.000
0.000 4.906 0.000
-3.311 0.000 8.860
Ba Sb Pd
4 2 2
Direct
0.192 0.250 0.417
0.288 0.750 0.058
0.712 0.250 0.942
0.808 0.750 0.583
0.358 0.750 0.710
0.642 0.250 0.290
0.203 0.250 0.769
0.797 0.750 0.231

---

Ca2NiIr | the Alexandria database | GGA-PBE | optimized geometry; ΔH_f (0 K) = 0.242 eV per atom; SG = I-42d (122)
1.0
-3.783 3.783 2.851
3.783 -3.783 2.851
3.783 3.783 -2.851
Ca Ni Ir
4 2 2
Direct
0.114 0.625 0.989
0.375 0.364 0.489
0.636 0.125 0.011
0.875 0.886 0.511
0.000 0.000 0.000
0.750 0.250 0.500
0.250 0.750 0.500
0.500 0.500 0.000

---

NiSb2BrCl | the Alexandria database | GGA-PBE | optimized geometry; energy relative to the elements, uncorrected = 1.197 eV/atom; SG = P4/mmm (123)
1.0
5.559 0.000 0.000
0.000 5.559 0.000
0.000 0.000 4.998
Ni Sb Br Cl
1 2 1 1
Direct
0.000 0.000 0.000
0.000 0.500 0.500
0.500 0.000 0.500
0.500 0.500 0.500
0.500 0.500 0.000

---

LiDyPu2S4 | the Alexandria database | GGA-PBE | optimized geometry; energy relative to the elements, uncorrected = -1.758 eV/atom; SG = P2/m (10)
1.0
6.767 0.000 0.000
0.000 3.942 0.000
-2.294 0.000 6.398
Li Dy Pu S
1 1 2 4
Direct
0.000 0.000 0.000
0.000 0.500 0.500
0.500 0.000 0.500
0.500 0.500 0.000
0.244 0.000 0.751
0.244 0.500 0.247
0.756 0.000 0.249
0.756 0.500 0.753

---

Number 1: Fermi-level density of states 6.55 states/eV per cell, energy -4.064 eV/atom. Number 2: Fermi-level density of states 5.07 states/eV per cell, energy -4.419 eV/atom. Number 3: Fermi-level density of states 6.85 states/eV per cell, energy -2.312 eV/atom. Number 4: Fermi-level density of states 14.85 states/eV per cell, energy -8.219 eV/atom.